[1]
A plane-wave DFT calculation with PBE was carried out for an optimized crystal structure of K3TeF.

## Properties
The calculated density comes out at 2.65 Mg/m³. For the spin magnetization, the calculation gives 0.00 μB per atom. As for the excess energy over the best structure of this formula in the dataset: 7.3 kJ/mol of atoms. The uncorrected formation energy comes out at -1649.2 meV/atom. The final energy is -3.31 eV/atom.

Lattice parameters (Å, degrees): 6.5462 7.3589 7.1535 90.00 106.37 90.00
Sites, in units of the cell vectors:
K 0.1167 0.2500 0.1716
K 0.3595 0.0207 0.7457
K 0.3595 0.4793 0.7457
K 0.6405 0.5207 0.2543
K 0.6405 0.9793 0.2543
K 0.8833 0.7500 0.8284
Te 0.1653 0.7500 0.3249
Te 0.8347 0.2500 0.6751
F 0.4470 0.2500 0.0510
F 0.5530 0.7500 0.9490


[2]
A plane-wave DFT calculation with PBE was carried out for an optimized crystal structure of KTeF3.

## Properties
The calculated density comes out at 3.44 Mg/m³. For the spin magnetization, the calculation gives 0.00 μB per atom. As for the excess energy over the best structure of this formula in the dataset: 0.0 kJ/mol of atoms. The uncorrected formation energy comes out at -1748.8 meV/atom. The final energy is -3.72 eV/atom.

Lattice parameters (Å, degrees): 4.7598 4.7598 4.7598 90.00 90.00 90.00
Sites, in units of the cell vectors:
K 0.0000 0.0000 0.0000
Te 0.5000 0.5000 0.5000
F 0.0000 0.5000 0.5000
F 0.5000 0.0000 0.5000
F 0.5000 0.5000 0.0000


[3]
A plane-wave DFT calculation with PBE was carried out for an optimized crystal structure of K3TeF7.

## Properties
The calculated density comes out at 2.94 Mg/m³. For the spin magnetization, the calculation gives 0.00 μB per atom. The uncorrected formation energy comes out at -2552.7 meV/atom. The final energy is -4.33 eV/atom.

Lattice parameters (Å, degrees): 6.0859 6.0859 6.9851 113.88 113.88 88.80
Sites, in units of the cell vectors:
K 0.0000 0.0000 0.0000
K 0.2539 0.7279 0.4675
K 0.7279 0.2539 0.4675
Te 0.5411 0.5411 0.0024
F 0.1953 0.5200 0.7532
F 0.3554 0.3554 0.1026
F 0.4028 0.8384 0.2041
F 0.5200 0.1953 0.7532
F 0.6342 0.6342 0.7669
F 0.8384 0.4028 0.2041
F 0.8659 0.8659 0.2506


[4]
A plane-wave DFT calculation with PBE was carried out for an optimized crystal structure of K3TeF.

## Properties
The calculated density comes out at 2.51 Mg/m³. For the spin magnetization, the calculation gives 0.00 μB per atom. As for the excess energy over the best structure of this formula in the dataset: 10.9 kJ/mol of atoms. The uncorrected formation energy comes out at -1611.7 meV/atom. The final energy is -3.27 eV/atom.

Lattice parameters (Å, degrees): 8.2615 8.2615 8.9615 111.98 111.98 38.52
Sites, in units of the cell vectors:
K 0.0693 0.0693 0.1978
K 0.2041 0.2041 0.8071
K 0.3561 0.3561 0.5025
K 0.6439 0.6439 0.4975
K 0.7959 0.7959 0.1929
K 0.9307 0.9307 0.8022
Te 0.4166 0.4166 0.1517
Te 0.5834 0.5834 0.8483
F 0.1834 0.1834 0.4971
F 0.8166 0.8166 0.5029